(1)
An optimized crystal structure of DyGePb2, computed with PBE-GGA.

Summary:
The total magnetization comes out at 0.0 μB per cell. The calculation puts the total DFT energy (no corrections) at -3.941 eV/atom.

The structure in POSCAR format:
```
DyGePb2
1.0
-1.1639 -2.8774 -1.5993
0.3354 -3.1131 1.5454
-10.3698 -0.6450 4.8956
Pb Dy Ge
2 1 1
Direct
0.9057 0.9057 0.2829
0.0943 0.0943 0.7171
0.0000 0.0000 0.0000
0.5000 0.5000 0.5000
```

---

(2)
An optimized crystal structure of NbSbN2F, computed with PBE-GGA.

Summary:
The total magnetization comes out at 2.5 μB per cell. The value obtained for the uncorrected formation energy is 294 kJ/mol of formula units. The calculation puts the total DFT energy (no corrections) at -5.933 eV/atom.

The structure in POSCAR format:
```
NbSbN2F
1.0
4.1590 0.0000 0.0000
0.0000 4.1590 0.0000
0.0000 0.0000 4.0308
N F Sb Nb
2 1 1 1
Direct
0.5000 0.0000 0.0000
0.0000 0.5000 0.0000
0.0000 0.0000 0.5000
0.0000 0.0000 0.0000
0.5000 0.5000 0.5000
```

---

(3)
An optimized crystal structure of Tl2RhPb, computed with PBE-GGA.

Summary:
The total magnetization comes out at 0.0 μB per cell. The calculation puts the total DFT energy (no corrections) at -3.833 eV/atom.

The structure in POSCAR format:
```
Tl2RhPb
1.0
3.2962 0.0000 0.0000
0.0000 6.6531 -0.6211
0.0000 2.6026 4.7068
Rh Tl Pb
1 2 1
Direct
0.5000 0.5000 0.0000
0.0000 0.8714 0.8140
0.0000 0.1286 0.1860
0.5000 0.5000 0.5000
```

---

(4)
An optimized crystal structure of GdThTcRu, computed with PBE-GGA.

Summary:
The total magnetization comes out at 6.9 μB per cell. The calculation puts the total DFT energy (no corrections) at -10.459 eV/atom.

The structure in POSCAR format:
```
GdThTcRu
1.0
-2.0765 3.6162 -2.6481
-2.8900 -1.1054 -3.8506
-4.8718 0.7715 0.2666
Tc Th Ru Gd
1 1 1 1
Direct
0.2500 0.2500 0.2500
0.5000 0.5000 0.5000
0.7500 0.7500 0.7500
0.0000 0.0000 0.0000
```

---

(5)
An optimized crystal structure of KIn2Se, computed with PBE-GGA.

Summary:
The total magnetization comes out at 0.0 μB per cell. The value obtained for the uncorrected formation energy is -180 kJ/mol of formula units. The calculation puts the total DFT energy (no corrections) at -2.980 eV/atom.

The structure in POSCAR format:
```
KIn2Se
1.0
-1.0664 3.7366 0.5229
-2.8133 -1.3870 4.1739
3.3515 0.1722 5.6050
In K Se
2 1 1
Direct
0.5000 0.2166 0.1894
0.0000 0.7962 0.0319
0.0000 0.5085 0.6093
0.5000 0.9786 0.6694
```

---

(6)
An optimized crystal structure of YbFe4P12, computed with PBE-GGA.

Summary:
The total magnetization comes out at 0.0 μB per cell. The calculation puts the total DFT energy (no corrections) at -6.454 eV/atom.

The structure in POSCAR format:
```
YbFe4P12
1.0
-1.7957 6.1034 -2.2184
-1.1513 -4.5687 -4.8165
-3.6077 -1.5507 5.4751
Fe P Yb
4 12 1
Direct
0.5000 0.0000 0.0000
0.5000 0.5000 0.5000
0.0000 0.5000 0.0000
0.0000 0.0000 0.5000
0.1503 0.7973 0.6469
0.8497 0.2027 0.3531
0.6469 0.8497 0.4966
0.7973 0.6469 0.1503
0.4966 0.6469 0.8497
0.5034 0.3531 0.1503
0.3531 0.1503 0.5034
0.6469 0.1503 0.7973
0.2027 0.3531 0.8497
0.3531 0.8497 0.2027
0.1503 0.5034 0.3531
0.8497 0.4966 0.6469
0.0000 0.0000 0.0000
```